# 1
Here is a PBEsol-optimized structure of MgTiCr2In from Alexandria. Energies are from SCAN.

Values from the calculation:
DFT formation energy in eV per atom: 0.96
Magnetic moment in μB/cell: 6.67
Theoretical density in g cm⁻³: 3.8
Calculated total energy in eV per atom: -17.272
SG: P4/mmm (123)

Lattice parameters (Å, degrees): 4.997 4.997 5.114 90.00 90.00 90.00
Sites, in units of the cell vectors:
1 Mg 0.000 0.000 0.000
2 Ti 0.500 0.500 0.000
3 Cr 0.000 0.500 0.500
4 Cr 0.500 0.000 0.500
5 In 0.500 0.500 0.500

***

# 2
Here is a PBEsol-optimized structure of YMg2Zn from Alexandria. Energies are from SCAN.

Values from the calculation:
DFT formation energy in eV per atom: -0.17
Magnetic moment in μB/cell: 0.01
Theoretical density in g cm⁻³: 3.8
Calculated total energy in eV per atom: -12.998
SG: Pmmm (47)

Lattice parameters (Å, degrees): 4.116 4.461 4.815 90.00 90.00 90.00
Sites, in units of the cell vectors:
1 Y 0.000 0.000 0.000
2 Mg 0.000 0.500 0.500
3 Mg 0.500 0.000 0.500
4 Zn 0.500 0.500 0.000